[1]
A plane-wave DFT calculation with GGA-PBEsol was carried out for a geometry-optimized Re2SiSe structure.

a = 4.293 Å, b = 4.293 Å, c = 3.003 Å
α = 90.00°, β = 90.00°, γ = 90.00°
Space group P4/mmm (No. 123)
One atom of each set of equivalent atoms:
Re 0.000 0.500 0.000 x2
Si 0.000 0.000 0.500 x1
Se 0.500 0.500 0.500 x1

Calculated volume, Å³/atom: 13.8
Energy above the most stable polymorph in this dataset, meV/atom: 0
Magnetization, μB/atom: 0.00
Raw formation energy, kJ per mole of atoms: 17


[2]
A plane-wave DFT calculation with GGA-PBEsol was carried out for a geometry-optimized Re2SiSe structure.

a = 2.949 Å, b = 4.064 Å, c = 4.963 Å
α = 90.00°, β = 90.00°, γ = 90.00°
Space group Pmmm (No. 47)
One atom of each set of equivalent atoms:
Re 0.000 0.000 0.000 x1
Re 0.500 0.000 0.500 x1
Si 0.000 0.500 0.500 x1
Se 0.500 0.500 0.000 x1

Calculated volume, Å³/atom: 14.9
Energy above the most stable polymorph in this dataset, meV/atom: 425
Magnetization, μB/atom: 0.00
Raw formation energy, kJ per mole of atoms: 58


[3]
A plane-wave DFT calculation with GGA-PBEsol was carried out for a geometry-optimized Re2SiSe structure.

a = 2.872 Å, b = 4.203 Å, c = 10.136 Å
α = 90.00°, β = 90.00°, γ = 90.00°
Space group Immm (No. 71)
One atom of each set of equivalent atoms:
Re 0.000 0.000 0.200 x4
Si 0.000 0.500 0.500 x2
Se 0.000 0.500 0.000 x2

Calculated volume, Å³/atom: 15.3
Energy above the most stable polymorph in this dataset, meV/atom: 262
Magnetization, μB/atom: 0.00
Raw formation energy, kJ per mole of atoms: 42


[4]
A plane-wave DFT calculation with GGA-PBEsol was carried out for a geometry-optimized Re2SiSe structure.

a = 5.600 Å, b = 5.600 Å, c = 10.213 Å
α = 90.00°, β = 90.00°, γ = 90.00°
Space group I-42d (No. 122)
One atom of each set of equivalent atoms:
Re 0.246 0.250 0.125 x8
Si 0.000 0.000 0.000 x4
Se 0.000 0.000 0.500 x4

Calculated volume, Å³/atom: 20.0
Energy above the most stable polymorph in this dataset, meV/atom: 859
Magnetization, μB/atom: 0.00
Raw formation energy, kJ per mole of atoms: 100


[5]
A plane-wave DFT calculation with GGA-PBEsol was carried out for a geometry-optimized Re2SiSe structure.

a = 2.967 Å, b = 4.792 Å, c = 8.374 Å
α = 90.00°, β = 90.00°, γ = 90.00°
Space group Cmmm (No. 65)
One atom of each set of equivalent atoms:
Re 0.000 0.000 0.228 x4
Si 0.000 0.500 0.000 x2
Se 0.000 0.500 0.500 x2

Calculated volume, Å³/atom: 14.9
Energy above the most stable polymorph in this dataset, meV/atom: 354
Magnetization, μB/atom: 0.00
Raw formation energy, kJ per mole of atoms: 51


[6]
A plane-wave DFT calculation with GGA-PBEsol was carried out for a geometry-optimized Re3SnSe structure.

a = 4.536 Å, b = 4.536 Å, c = 4.536 Å
α = 90.00°, β = 90.00°, γ = 90.00°
Space group Pm-3m (No. 221)
One atom of each set of equivalent atoms:
Re 0.000 0.000 0.500 x3
Sn 0.500 0.500 0.500 x1
Se 0.000 0.000 0.000 x1

Calculated volume, Å³/atom: 18.7
Magnetization, μB/atom: 0.24
Raw formation energy, kJ per mole of atoms: 164